SrCu3Rh: relaxed, PBE.

The structure in CIF format:
```
data_SrCu3Rh
_chemical_formula_sum 'Sr2 Cu6 Rh2'
_cell_length_a 6.7153
_cell_length_b 6.7153
_cell_length_c 5.0833
_cell_angle_alpha 90.00
_cell_angle_beta 90.00
_cell_angle_gamma 129.90
_symmetry_space_group_name_H-M 'P 1'
_symmetry_Int_Tables_number 1
loop_
_symmetry_equiv_pos_as_xyz
'x,y,z'
loop_
_atom_site_label
_atom_site_type_symbol
_atom_site_fract_x
_atom_site_fract_y
_atom_site_fract_z
Sr1 Sr 0.1024 0.8976 0.7500
Sr2 Sr 0.8976 0.1024 0.2500
Cu1 Cu 0.1246 0.4396 0.7500
Cu2 Cu 0.3099 0.6901 0.2500
Cu3 Cu 0.4396 0.1246 0.2500
Cu4 Cu 0.5604 0.8754 0.7500
Cu5 Cu 0.6901 0.3099 0.7500
Cu6 Cu 0.8754 0.5604 0.2500
Rh1 Rh 0.5000 0.5000 0.0000
Rh2 Rh 0.5000 0.5000 0.5000
```

Values from the calculation:
- energy relative to the lowest polymorph listed for this composition (meV/atom) = 0
- density of states at the Fermi level (states/eV per atom) = 0.639
- magnetic moment (μB per formula unit) = 0.26
- formation energy from the elements (kJ/mol of formula units) = -16.8